A plane-wave DFT calculation with PBE was carried out for crystalline Ho7Tl2Ag2 at its relaxed geometry.

Total moment = 0.00 μB per atom
Energy of formation from the pure elements = 23 kJ/mol of formula units

```
data_Ho7Tl2Ag2
_cell_length_a 6.908
_cell_length_b 7.300
_cell_length_c 6.908
_cell_angle_alpha 90.03
_cell_angle_beta 108.22
_cell_angle_gamma 89.97
_symmetry_space_group_name_H-M 'P 1'
_symmetry_Int_Tables_number 1
loop_
_symmetry_equiv_pos_as_xyz
'x,y,z'
loop_
_atom_site_label
_atom_site_fract_x
_atom_site_fract_y
_atom_site_fract_z
Ho1 0.500 0.249 0.500
Ho2 0.500 0.751 0.500
Ho3 0.000 0.267 0.500
Ho4 0.500 0.733 0.000
Ho5 0.000 0.000 0.000
Ho6 0.500 0.267 0.000
Ho7 0.000 0.733 0.500
Tl1 0.819 0.500 0.819
Tl2 0.181 0.500 0.181
Ag1 0.291 0.000 0.709
Ag2 0.709 0.000 0.291
```


A plane-wave DFT calculation with PBE was carried out for crystalline Y2Ho2Mg5Sc at its relaxed geometry.

Total moment = 0.00 μB per atom
Energy of formation from the pure elements = 100 kJ/mol of formula units

```
data_Y2Ho2Mg5Sc
_cell_length_a 4.914
_cell_length_b 10.542
_cell_length_c 10.542
_cell_angle_alpha 90.00
_cell_angle_beta 90.00
_cell_angle_gamma 90.00
_symmetry_space_group_name_H-M 'P 1'
_symmetry_Int_Tables_number 1
loop_
_symmetry_equiv_pos_as_xyz
'x,y,z'
loop_
_atom_site_label
_atom_site_fract_x
_atom_site_fract_y
_atom_site_fract_z
Mg1 0.500 0.807 0.933
Mg2 0.500 0.193 0.067
Mg3 0.500 0.500 0.000
Mg4 0.500 0.307 0.567
Mg5 0.500 0.067 0.807
Mg6 0.500 0.433 0.307
Mg7 0.500 0.693 0.433
Mg8 0.500 0.567 0.693
Mg9 0.500 0.933 0.193
Mg10 0.500 0.000 0.500
Sc1 0.000 0.500 0.500
Sc2 0.000 0.000 0.000
Ho1 0.000 0.380 0.120
Ho2 0.000 0.880 0.380
Ho3 0.000 0.120 0.620
Ho4 0.000 0.620 0.880
Y1 0.000 0.178 0.322
Y2 0.000 0.678 0.178
Y3 0.000 0.322 0.822
Y4 0.000 0.822 0.678
```


A plane-wave DFT calculation with PBE was carried out for crystalline Ba3CdCl at its relaxed geometry.

Electronic total energy = -2.361 eV/atom
Total moment = 0.00 μB per atom

```
data_Ba3CdCl
_cell_length_a 6.079
_cell_length_b 6.079
_cell_length_c 6.079
_cell_angle_alpha 90.00
_cell_angle_beta 90.00
_cell_angle_gamma 90.00
_symmetry_space_group_name_H-M 'P 1'
_symmetry_Int_Tables_number 1
loop_
_symmetry_equiv_pos_as_xyz
'x,y,z'
loop_
_atom_site_label
_atom_site_fract_x
_atom_site_fract_y
_atom_site_fract_z
Ba1 0.500 0.000 0.000
Ba2 0.000 0.500 0.000
Ba3 0.000 0.000 0.500
Cd1 0.500 0.500 0.500
Cl1 0.000 0.000 0.000
```